Computed, not measured: LaPRu2 after structural relaxation at the GGA-PBE level of DFT.

The structure in CIF format:
```
data_LaPRu2
_chemical_formula_sum 'La1 P1 Ru2'
_symmetry_space_group_name_H-M 'P 1'
_symmetry_Int_Tables_number 1
_symmetry_space_group_name_Hall 'P 1'
_cell_length_a 2.977
_cell_length_b 3.876
_cell_length_c 6.212
_cell_angle_alpha 90.00
_cell_angle_beta 90.00
_cell_angle_gamma 90.00
loop_
_atom_site_label
_atom_site_fract_x
_atom_site_fract_y
_atom_site_fract_z
La1 0.000 0.000 0.000
P1 0.500 0.500 0.333
Ru1 0.000 0.000 0.493
Ru2 0.500 0.500 0.696
```

Properties
The formation enthalpy at 0 K comes out at -0.13 eV/atom. Its volume is 17.917 Å³/atom. The crystal system is orthorhombic.